DFT (GGA-PBE) results for a relaxed structure of TlPb.

abc: 8.545 8.545 8.545
angles: 109.47 109.47 109.47
Fractional coordinates of all 8 atoms:
Tl1 0.000 0.000 0.606
Tl2 0.000 0.606 0.000
Tl3 0.394 0.394 0.394
Tl4 0.606 0.000 0.000
Pb1 0.000 0.000 0.239
Pb2 0.000 0.239 0.000
Pb3 0.239 0.000 0.000
Pb4 0.761 0.761 0.761

ΔH_f (0 K)	0.381	eV per atom
SG	I-43m, No. 217
magnetic moment	0.0	μB per formula unit

DFT (GGA-PBE) results for a relaxed structure of Ti2NbNiH.

abc: 4.825 4.825 3.366
angles: 90.00 90.00 90.00
Fractional coordinates of all 5 atoms:
Ti1 0.000 0.500 0.000
Ti2 0.500 0.000 0.000
Nb1 0.000 0.000 0.000
Ni1 0.500 0.500 0.500
H1 0.000 0.000 0.500

excess energy over the best structure of this formula in the dataset	0.954	eV per atom
SG	P4/mmm, No. 123
magnetic moment	0.0	μB per formula unit

DFT (GGA-PBE) results for a relaxed structure of UPaBe17.

abc: 5.841 5.841 5.841
angles: 82.72 82.72 82.72
Fractional coordinates of all 19 atoms:
U1 0.000 0.000 0.000
Pa1 0.683 0.683 0.683
Be1 0.003 0.003 0.496
Be2 0.003 0.496 0.003
Be3 0.062 0.340 0.620
Be4 0.062 0.620 0.340
Be5 0.185 0.680 0.680
Be6 0.245 0.245 0.245
Be7 0.340 0.062 0.620
Be8 0.340 0.340 0.842
Be9 0.340 0.620 0.062
Be10 0.340 0.842 0.340
Be11 0.437 0.437 0.437
Be12 0.496 0.003 0.003
Be13 0.620 0.062 0.340
Be14 0.620 0.340 0.062
Be15 0.680 0.185 0.680
Be16 0.680 0.680 0.185
Be17 0.842 0.340 0.340

ΔH_f (0 K)	-0.043	eV per atom
SG	R3m, No. 160
magnetic moment	1.8	μB per formula unit

DFT (GGA-PBE) results for a relaxed structure of Nd2ThInC.

abc: 5.164 5.164 5.042
angles: 90.00 90.00 90.00
Fractional coordinates of all 5 atoms:
Nd1 0.000 0.500 0.000
Nd2 0.500 0.000 0.000
Th1 0.000 0.000 0.500
In1 0.500 0.500 0.500
C1 0.000 0.000 0.000

ΔH_f (0 K)	-0.326	eV per atom
SG	P4/mmm, No. 123
magnetic moment	0.0	μB per formula unit